No. 1
{
  "formula": "BeCuPO2",
  "functional": "PBE",
  "state": "optimized geometry",
  "formation_energy_uncorrected_mev_per_atom": -217.4,
  "energy_ry_per_atom": -0.3563,
  "magnetic_moment_mub_per_cell": 0.0,
  "cell": [[-1.7684, 0.8326, 2.6320], [1.1088, -2.6483, 1.5827], [4.2572, 2.9366, 1.9314]],
  "species": ["O", "Be", "O", "P", "Cu"],
  "frac_coords": [[0.0000, 0.5000, 0.0000], [0.0000, 0.0000, 0.0000], [0.5000, 0.0000, 0.0000], [0.0000, 0.0000, 0.5000], [0.5000, 0.5000, 0.5000]]
}



No. 2
{
  "formula": "ScMo2Br",
  "functional": "PBE",
  "state": "optimized geometry",
  "formation_energy_uncorrected_mev_per_atom": 552.2,
  "energy_ry_per_atom": -0.5045,
  "magnetic_moment_mub_per_cell": 0.0,
  "cell": [[-1.9202, -2.1212, 4.4916], [5.2141, 0.7764, -0.7564], [-0.2361, 2.7545, 1.1999]],
  "species": ["Sc", "Br", "Mo", "Mo"],
  "frac_coords": [[0.5000, 0.0000, 0.5000], [0.0000, 0.5000, 0.5000], [0.5000, 0.5000, 0.0000], [0.0000, 0.0000, 0.0000]]
}



No. 3
{
  "formula": "TbCu5",
  "functional": "PBE",
  "state": "optimized geometry",
  "delta_e_f_ev_per_atom": -0.17,
  "energy_ry_per_atom": -0.3202,
  "magnetic_moment_mub_per_cell": 0.0,
  "cell": [[-2.5759, -1.2031, -4.0952], [2.3177, -0.3023, -4.4035], [0.6817, -4.4419, -2.1583]],
  "species": ["Cu", "Tb", "Cu", "Cu", "Cu", "Cu"],
  "frac_coords": [[0.1289, 0.6237, 0.6237], [0.0000, 0.0000, 0.0000], [0.6237, 0.6237, 0.1289], [0.6237, 0.1289, 0.6237], [0.2500, 0.2500, 0.2500], [0.6237, 0.6237, 0.6237]]
}



Computed D(E_F), in the same sequence as the records: 3.84 2.43 3.73 states/eV/cell.